1.
Sc2Ga2Ag | PBE | relaxed

Summary:
SG: Immm (71)
Calculated formation energy, eV/atom: -0.420
Energy above the lowest structure with this stoichiometry, eV per formula unit: 0.50

abc: 4.0805 5.4670 5.4670
angles: 63.25 68.09 68.09
Last column: nearest neighbours and their distance in Å.
Fractional positions:
Sc (0.7937, 0.7063, 0.7063)  6 Ga 2.94-2.95, 2 Ag 3.19
Sc (0.2063, 0.2937, 0.2937)  6 Ga 2.94-2.95, 2 Ag 3.19
Ga (0.5000, 0.7193, 0.2807)  1 Ga 2.51, 2 Ag 2.60
Ga (0.5000, 0.2807, 0.7193)  1 Ga 2.51, 2 Ag 2.60
Ag (0.0000, 0.0000, 0.0000)  4 Ga 2.60



2.
La2YCd | PBE | relaxed

Summary:
SG: P4mm (99)
Calculated formation energy, eV/atom: -0.159

abc: 3.7579 3.7579 9.0456
angles: 90.00 90.00 90.00
Last column: nearest neighbours and their distance in Å.
Fractional positions:
Cd (0.5000, 0.5000, 0.7348)  4 Y 3.22, 4 La 3.43
La (0.5000, 0.5000, 0.2578)  4 Y 3.64, 8 La 3.69-3.76
La (0.0000, 0.0000, 0.9741)  4 Cd 3.43, 8 La 3.69-3.76
Y (0.0000, 0.0000, 0.5333)  4 Cd 3.22



3.
LiCe2In3 | PBE | relaxed

Summary:
SG: P6_3/mmc (194)
Calculated formation energy, eV/atom: -0.368
Energy above the lowest structure with this stoichiometry, eV per formula unit: 0.00

abc: 6.2098 6.2098 8.9160
angles: 90.00 90.00 120.00
Last column: nearest neighbours and their distance in Å.
Fractional positions:
Li (0.0000, 0.0000, 0.5000)  6 In 2.88
Li (0.0000, 0.0000, 0.0000)  6 In 2.88
In (0.1698, 0.3396, 0.2500)  2 Li 2.88, 4 In 3.05-3.16
In (0.6604, 0.8302, 0.2500)  2 Li 2.88, 4 In 3.05-3.16
In (0.8302, 0.6604, 0.7500)  2 Li 2.88, 4 In 3.05-3.16
In (0.8302, 0.1698, 0.7500)  2 Li 2.88, 4 In 3.05-3.16
In (0.3396, 0.1698, 0.7500)  2 Li 2.88, 4 In 3.05-3.16
In (0.1698, 0.8302, 0.2500)  2 Li 2.88, 4 In 3.05-3.16
Ce (0.3333, 0.6667, 0.9073)  1 Ce 2.81
Ce (0.6667, 0.3333, 0.0927)  1 Ce 2.81
Ce (0.3333, 0.6667, 0.5927)  1 Ce 2.81
Ce (0.6667, 0.3333, 0.4073)  1 Ce 2.81



4.
CrTc2Ag | PBE | relaxed

Summary:
SG: R-3m (166)
Calculated formation energy, eV/atom: 0.304
Energy above the lowest structure with this stoichiometry, eV per formula unit: 0.00

abc: 9.2329 9.2329 9.2329
angles: 17.05 17.05 17.05
Last column: nearest neighbours and their distance in Å.
Fractional positions:
Ag (0.2500, 0.2500, 0.2500)  6 Ag 2.74, 6 Tc 2.98
Cr (0.7500, 0.7500, 0.7500)  6 Tc 2.57, 6 Cr 2.74
Tc (0.4908, 0.4908, 0.4908)  3 Cr 2.57, 6 Tc 2.74
Tc (0.0092, 0.0092, 0.0092)  3 Cr 2.57, 6 Tc 2.74



5.
Ac4GeH | PBE | relaxed

Summary:
SG: P2 (3)

abc: 5.5294 5.4927 7.3993
angles: 67.92 90.00 90.00
Last column: nearest neighbours and their distance in Å.
Fractional positions:
H (0.2140, 0.9975, 0.4981)  4 Ac 2.45-2.46
Ac (0.4536, 0.1361, 0.7212)  1 H 2.45
Ac (0.9617, 0.6415, 0.7197)  1 H 2.46
Ac (0.4536, 0.8584, 0.2751)  1 H 2.45
Ac (0.9617, 0.3533, 0.2765)  1 H 2.46
Ge (0.4632, 0.4970, 0.9983)  8 Ac 3.33-3.37



6.
HfSc3Bi4 | PBE | relaxed

Summary:
SG: Cmmm (65)
Calculated formation energy, eV/atom: -0.498

abc: 4.2490 7.3563 7.3563
angles: 109.35 90.00 90.00
Last column: nearest neighbours and their distance in Å.
Fractional positions:
Sc (0.0000, 0.5000, 0.0000)  6 Bi 3.00-3.01
Sc (0.5000, 0.5000, 0.5000)  6 Bi 3.01
Sc (0.0000, 0.0000, 0.5000)  6 Bi 3.00-3.01
Bi (0.0000, 0.2494, 0.2494)  4 Sc 3.00-3.01, 2 Hf 3.00
Bi (0.0000, 0.7506, 0.7506)  4 Sc 3.00-3.01, 2 Hf 3.00
Bi (0.5000, 0.2496, 0.7504)  1 Hf 3.00, 5 Sc 3.01
Bi (0.5000, 0.7504, 0.2496)  1 Hf 3.00, 5 Sc 3.01
Hf (0.5000, 0.0000, 0.0000)  6 Bi 3.00



The following theoretical density values (in Mg/m³) correspond, in order, to the records above: 5.72, 6.23, 7.05, 10.01, 7.83, 8.80.
The following VASP energy values (in eV per atom) correspond, in order, to the records above: -4.733, -4.468, -4.034, -7.997, -4.346, -6.057.